Below is an optimized crystal structure of ZrTlF6, with properties calculated at the PBE level.

Computed properties:
ΔE_f (raw) = -23.292 eV per formula unit
Symmetry = No. 148

The structure in POSCAR format:
```
ZrTlF6
1.0
-1.688 1.500 -5.247
-5.191 -1.493 -1.868
-4.302 4.556 -0.423
Zr Tl F
1 1 6
direct
0.000 0.000 0.000 Zr
0.500 0.500 0.500 Tl
0.108 0.347 0.776 F
0.769 0.108 0.776 F
0.653 0.231 0.224 F
0.231 0.892 0.224 F
0.892 0.653 0.224 F
0.347 0.769 0.776 F
```


Below is an optimized crystal structure of ZrTlF6, with properties calculated at the PBE level.

Computed properties:
ΔE_f (raw) = -21.179 eV per formula unit
Symmetry = No. 166

The structure in POSCAR format:
```
ZrTlF6
1.0
-3.068 2.667 -3.588
-5.380 0.198 0.650
-2.309 5.371 1.870
Zr Tl F
1 1 6
direct
0.000 0.000 0.000 Zr
0.500 0.500 0.500 Tl
0.092 0.092 0.238 F
0.092 0.579 0.238 F
0.421 0.908 0.762 F
0.908 0.421 0.762 F
0.908 0.908 0.762 F
0.579 0.092 0.238 F
```


Below is an optimized crystal structure of ZrTl2F11, with properties calculated at the PBE level.

Computed properties:
ΔE_f (raw) = -31.719 eV per formula unit
Symmetry = No. 72

The structure in POSCAR format:
```
ZrTl2F11
1.0
7.245 0.000 3.776
3.389 7.316 2.335
0.234 -0.189 8.389
Zr Tl F
2 4 22
direct
0.750 0.750 0.750 Zr
0.250 0.250 0.250 Zr
0.667 0.693 0.307 Tl
0.333 0.307 0.693 Tl
0.833 0.193 0.807 Tl
0.167 0.807 0.193 Tl
0.657 0.708 0.569 F
0.343 0.292 0.431 F
0.066 0.569 0.708 F
0.843 0.931 0.792 F
0.934 0.431 0.292 F
0.157 0.069 0.208 F
0.434 0.792 0.931 F
0.566 0.208 0.069 F
0.500 0.500 0.500 F
0.000 0.000 0.000 F
0.893 0.813 0.187 F
0.107 0.187 0.813 F
0.607 0.313 0.687 F
0.393 0.687 0.313 F
0.446 0.983 0.310 F
0.554 0.017 0.690 F
0.262 0.310 0.983 F
0.054 0.190 0.517 F
0.738 0.690 0.017 F
0.946 0.810 0.483 F
0.238 0.517 0.190 F
0.762 0.483 0.810 F
```


> The lowest ΔE_f (raw) belongs to which entry?

ZrTl2F11